This record from Alexandria via LeMat-Bulk describes a geometry-optimized UTlSnO6 structure. The functional is PBE.

Results
V in Å³/atom: 15.8
D(E_F) in states/eV per cell: 6.5
Formation energy (no corrections) in eV per atom: -1.9150

Unit cell a=5.6303 b=5.6303 c=10.3506 alpha=90.00 beta=90.00 gamma=120.00
Space group P-31c (No. 163)
One atom of each set of equivalent atoms:
U 0.3333 0.6667 0.2500 x2
Tl 0.0000 0.0000 0.0000 x2
Sn 0.3333 0.6667 0.7500 x2
O 0.9995 0.3657 0.1425 x12


This record from Alexandria via LeMat-Bulk describes a geometry-optimized UTl2SnO6 structure. The functional is PBE.

Results
V in Å³/atom: 15.2
Formation energy (no corrections) in eV per atom: -1.9196

Unit cell a=8.481 b=8.481 c=8.481 alpha=90.00 beta=90.00 gamma=90.00
Space group Fm-3m (No. 225)
One atom of each set of equivalent atoms:
U 0.000 0.000 0.000 x4
Tl 0.250 0.250 0.250 x8
Sn 0.000 0.000 0.500 x4
O 0.000 0.000 0.249 x24


This record from Alexandria via LeMat-Bulk describes a geometry-optimized U3Tl2SnO12 structure. The functional is PBE.

Results
V in Å³/atom: 19.2
D(E_F) in states/eV per cell: 0.0
Formation energy (no corrections) in eV per atom: -2.4673

Unit cell a=8.0076 b=8.0076 c=18.6648 alpha=90.00 beta=90.00 gamma=120.00
Space group R-3m (No. 166, hexagonal axes)
One atom of each set of equivalent atoms:
U 0.0000 0.5000 0.0000 x9
Tl 0.0000 0.0000 0.1676 x6
Sn 0.0000 0.0000 0.5000 x3
O 0.0849 0.5425 0.1035 x18
O 0.0894 0.5447 0.3580 x18